# PBE GePtC2, optimized geometry
# D(E_F) (states/eV per cell): 2.4
# SG: No. 122
# Energy of formation from the pure elements (meV/atom): 906
data_GePtC2
_chemical_formula_sum 'Ge2 Pt2 C4'
_cell_length_a 4.787
_cell_length_b 4.787
_cell_length_c 5.600
_cell_angle_alpha 64.70
_cell_angle_beta 64.70
_cell_angle_gamma 90.00
_space_group_name_H-M_alt 'P 1'
_space_group_IT_number 1
loop_
_space_group_symop_operation_xyz
'x,y,z'
loop_
_atom_site_label
_atom_site_type_symbol
_atom_site_fract_x
_atom_site_fract_y
_atom_site_fract_z
Pt1 Pt 0.000 0.000 0.000
C1 C 0.375 0.389 0.750
Ge1 Ge 0.500 0.500 0.000
C2 C 0.611 0.125 0.250
C3 C 0.875 0.861 0.750
C4 C 0.139 0.625 0.250
Ge2 Ge 0.250 0.750 0.500
Pt2 Pt 0.750 0.250 0.500

# PBE CaRuCl3, optimized geometry
# E_form (uncorrected) (kJ per mole of atoms): -69.6
# D(E_F) (states/eV per cell): 1.9
# SG: No. 221
# E above lowest polymorph (eV per atom): 0.0000
data_CaRuCl3
_chemical_formula_sum 'Ca1 Ru1 Cl3'
_cell_length_a 4.816
_cell_length_b 4.816
_cell_length_c 4.816
_cell_angle_alpha 90.00
_cell_angle_beta 90.00
_cell_angle_gamma 90.00
_space_group_name_H-M_alt 'P 1'
_space_group_IT_number 1
loop_
_space_group_symop_operation_xyz
'x,y,z'
loop_
_atom_site_label
_atom_site_type_symbol
_atom_site_fract_x
_atom_site_fract_y
_atom_site_fract_z
Ru1 Ru 0.000 0.000 0.000
Ca1 Ca 0.500 0.500 0.500
Cl1 Cl 0.000 0.500 0.000
Cl2 Cl 0.500 0.000 0.000
Cl3 Cl 0.000 0.000 0.500

Question: Look up the D(E_F) of the first one.
Answer: 2.4 states/eV per cell